# 1
Density functional theory data (PBE) for crystalline Mg2Zr2Si at its relaxed geometry.

The total magnetic moment is 0.0 μB/f.u. The raw total energy comes out at -51.3 eV per cell. Its uncorrected formation energy is 0.08 eV/f.u.

The space group is P4/mbm (No. 127) and the conventional cell measures 6.9031, 6.9031 and 4.8620 Å, with angles of 90.00, 90.00 and 90.00 degrees. The distinct sites, in fractional coordinates, are Mg at (0.1538, 0.3462, 0.0000), Zr at (0.1519, 0.6519, 0.5000) and Si at (0.0000, 0.0000, 0.5000).

***

# 2
Density functional theory data (PBE) for crystalline Mg6ZrSi at its relaxed geometry.

The total magnetic moment is 0.0 μB/f.u. The raw total energy comes out at -46.9 eV per cell. Its uncorrected formation energy is 0.11 eV/f.u.

The space group is Amm2 (No. 38) and the conventional cell measures 4.9720, 5.9174 and 11.3356 Å, with angles of 90.00, 90.00 and 90.00 degrees. The distinct sites, in fractional coordinates, are Mg at (0.0000, 0.0000, 0.0000), Mg at (0.0000, 0.0000, 0.4808), Mg at (0.0000, 0.2462, 0.7437), Mg at (0.5000, 0.2504, 0.0916), Zr at (0.5000, 0.0000, 0.8449) and Si at (0.5000, 0.0000, 0.3322).

***

> Number 2 is which compound?

Mg6ZrSi